Ta2SiPdO: PBEsol geometry, SCAN.

Properties
* D(E_F): 0.420 states/eV/atom
* M_tot: 0.00 μB/atom
* raw formation energy: 0.314 eV/atom
* crystal system: tetragonal

Cell: 3.2847 4.9163 4.9163 Å, 90.00 90.00 90.00°
Positions (direct):
Si (0.0000, 0.0000, 0.0000)
O (0.5000, 0.0000, 0.0000)
Pd (0.5000, 0.5000, 0.5000)
Ta (0.0000, 0.0000, 0.5000)
Ta (0.0000, 0.5000, 0.0000)

***

Zn2SbRh: PBEsol geometry, SCAN.

Properties
* D(E_F): 0.314 states/eV/atom
* M_tot: 0.00 μB/atom
* raw formation energy: 0.037 eV/atom
* crystal system: cubic

Cell: 4.4920 4.4920 4.4920 Å, 60.00 60.00 60.00°
Positions (direct):
Rh (0.5000, 0.5000, 0.5000)
Sb (0.7500, 0.7500, 0.7500)
Zn (0.0000, 0.0000, 0.0000)
Zn (0.2500, 0.2500, 0.2500)

***

AgIrW2: PBEsol geometry, SCAN.

Properties
* D(E_F): 1.309 states/eV/atom
* M_tot: 0.00 μB/atom
* energy relative to the elements: 0.793 eV/atom
* crystal system: cubic

Cell: 4.4463 4.4463 4.4463 Å, 60.00 60.00 60.00°
Positions (direct):
Ir (0.5000, 0.5000, 0.5000)
Ag (0.0000, 0.0000, 0.0000)
W (0.2500, 0.2500, 0.2500)
W (0.7500, 0.7500, 0.7500)